[1]
# Y7Tm3, optimized geometry, DFT PBE
data_Y7Tm3
_space_group_name_H-M_alt 'P 1'
_space_group_IT_number 1
_cell_length_a 10.8215
_cell_length_b 10.8215
_cell_length_c 6.3795
_cell_angle_alpha 90.00
_cell_angle_beta 90.00
_cell_angle_gamma 120.00
loop_
_space_group_symop_operation_xyz
'x,y,z'
loop_
_atom_site_label
_atom_site_type_symbol
_atom_site_fract_x
_atom_site_fract_y
_atom_site_fract_z
Y1 Y 0.0574 0.5287 0.0000
Y2 Y 0.1201 0.2402 0.1646
Y3 Y 0.1201 0.8799 0.1646
Y4 Y 0.2402 0.1201 0.6646
Y5 Y 0.3333 0.6667 0.2866
Y6 Y 0.4713 0.5287 0.0000
Y7 Y 0.4713 0.9426 0.0000
Y8 Y 0.5287 0.0574 0.5000
Y9 Y 0.5287 0.4713 0.5000
Y10 Y 0.6667 0.3333 0.7866
Y11 Y 0.7598 0.8799 0.1646
Y12 Y 0.8799 0.1201 0.6646
Y13 Y 0.8799 0.7598 0.6646
Y14 Y 0.9426 0.4713 0.5000
Tm1 Tm 0.2104 0.4209 0.6503
Tm2 Tm 0.2104 0.7896 0.6503
Tm3 Tm 0.4209 0.2104 0.1503
Tm4 Tm 0.5791 0.7896 0.6503
Tm5 Tm 0.7896 0.2104 0.1503
Tm6 Tm 0.7896 0.5791 0.1503
# **Formation energy from the elements**: 0.190 eV/atom
# **DOS at the Fermi energy**: 36.559 states/eV/cell
# **E_tot**: -56.763 eV/f.u.

---

[2]
# Y4Tm3, optimized geometry, DFT PBE
data_Y4Tm3
_space_group_name_H-M_alt 'P 1'
_space_group_IT_number 1
_cell_length_a 5.5503
_cell_length_b 5.5503
_cell_length_c 8.9657
_cell_angle_alpha 112.04
_cell_angle_beta 112.04
_cell_angle_gamma 63.51
loop_
_space_group_symop_operation_xyz
'x,y,z'
loop_
_atom_site_label
_atom_site_type_symbol
_atom_site_fract_x
_atom_site_fract_y
_atom_site_fract_z
Y1 Y 0.1408 0.1408 0.4236
Y2 Y 0.2870 0.2870 0.8590
Y3 Y 0.7130 0.7130 0.1410
Y4 Y 0.8592 0.8592 0.5764
Tm1 Tm 0.0000 0.0000 0.0000
Tm2 Tm 0.4294 0.4294 0.2880
Tm3 Tm 0.5706 0.5706 0.7120
# **Formation energy from the elements**: 0.125 eV/atom
# **DOS at the Fermi energy**: 16.211 states/eV/cell
# **E_tot**: -38.395 eV/f.u.

---

[3]
# Y5Tm3, optimized geometry, DFT PBE
data_Y5Tm3
_space_group_name_H-M_alt 'P 1'
_space_group_IT_number 1
_cell_length_a 3.6183
_cell_length_b 5.6056
_cell_length_c 12.5330
_cell_angle_alpha 90.00
_cell_angle_beta 90.00
_cell_angle_gamma 90.00
loop_
_space_group_symop_operation_xyz
'x,y,z'
loop_
_atom_site_label
_atom_site_type_symbol
_atom_site_fract_x
_atom_site_fract_y
_atom_site_fract_z
Y1 Y 0.0000 0.0000 0.0000
Y2 Y 0.0000 0.0000 0.4932
Y3 Y 0.0000 0.5000 0.8316
Y4 Y 0.5000 0.0000 0.7463
Y5 Y 0.5000 0.5000 0.5769
Tm1 Tm 0.0000 0.5000 0.3265
Tm2 Tm 0.5000 0.0000 0.2464
Tm3 Tm 0.5000 0.5000 0.0823
# **Formation energy from the elements**: -0.001 eV/atom
# **DOS at the Fermi energy**: 13.605 states/eV/cell
# **E_tot**: -45.741 eV/f.u.

---

no.,total magnetic moment (μB per cell)
1,3.9
2,0.0
3,0.0